# PBE CdFe2As, relaxed
# Offset from the most stable computed form = 377 meV per atom
# Fermi-level density of states = 3.09 states/eV/f.u.
# Total magnetization = 4.51 μB per formula unit
# E_form = 0.49 eV/atom
data_CdFe2As
_chemical_formula_sum 'Cd4 Fe8 As4'
_symmetry_space_group_name_H-M 'F -4 3 m'
_symmetry_Int_Tables_number 216
_symmetry_space_group_name_Hall 'F -4 2 3'
_cell_length_a 6.270
_cell_length_b 6.270
_cell_length_c 6.270
_cell_angle_alpha 90.00
_cell_angle_beta 90.00
_cell_angle_gamma 90.00
loop_
_atom_site_label
_atom_site_type_symbol
_atom_site_fract_x
_atom_site_fract_y
_atom_site_fract_z
Cd1 Cd 0.000 0.000 0.000
Fe1 Fe 0.000 0.000 0.500
Fe2 Fe 0.250 0.250 0.250
As1 As 0.250 0.250 0.750

---

# PBE KCd2FeAs, relaxed
# Fermi-level density of states = 1.66 states/eV/f.u.
# Total magnetization = 0.00 μB per formula unit
# E_form = -0.01 eV/atom
data_KCd2FeAs
_chemical_formula_sum 'K1 Cd2 Fe1 As1'
_symmetry_space_group_name_H-M 'P 4/m m m'
_symmetry_Int_Tables_number 123
_symmetry_space_group_name_Hall '-P 4 2'
_cell_length_a 5.188
_cell_length_b 5.188
_cell_length_c 4.448
_cell_angle_alpha 90.00
_cell_angle_beta 90.00
_cell_angle_gamma 90.00
loop_
_atom_site_label
_atom_site_type_symbol
_atom_site_fract_x
_atom_site_fract_y
_atom_site_fract_z
K1 K 0.000 0.000 0.000
Cd1 Cd 0.000 0.500 0.500
Fe1 Fe 0.500 0.500 0.500
As1 As 0.500 0.500 0.000

---

Question: Which value of total magnetization does entry 2 give?
Answer: 0.00 μB per formula unit

---

Copy entry 2 word for word.
# PBE KCd2FeAs, relaxed
# Fermi-level density of states = 1.66 states/eV/f.u.
# Total magnetization = 0.00 μB per formula unit
# E_form = -0.01 eV/atom
data_KCd2FeAs
_chemical_formula_sum 'K1 Cd2 Fe1 As1'
_symmetry_space_group_name_H-M 'P 4/m m m'
_symmetry_Int_Tables_number 123
_symmetry_space_group_name_Hall '-P 4 2'
_cell_length_a 5.188
_cell_length_b 5.188
_cell_length_c 4.448
_cell_angle_alpha 90.00
_cell_angle_beta 90.00
_cell_angle_gamma 90.00
loop_
_atom_site_label
_atom_site_type_symbol
_atom_site_fract_x
_atom_site_fract_y
_atom_site_fract_z
K1 K 0.000 0.000 0.000
Cd1 Cd 0.000 0.500 0.500
Fe1 Fe 0.500 0.500 0.500
As1 As 0.500 0.500 0.000

---

Question: The highest total magnetization belongs to which entry?
Answer: CdFe2As

---

Question: What is the Fermi-level density of states in the first record?
Answer: 3.09 states/eV/f.u.